A.
An optimized crystal structure of NpIrS3. Source: Alexandria, functional PBE.

The space group is P2_1/m (No. 11) and the conventional cell measures 6.560, 3.731 and 7.746 Å, with angles of 90.00, 92.93 and 90.00 degrees. The asymmetric unit holds Np at (0.130, 0.250, 0.295), Ir at (0.346, 0.750, 0.842), S at (0.126, 0.250, 0.896), S at (0.235, 0.750, 0.541) and S at (0.418, 0.750, 0.147).

The value obtained for the total magnetic moment is 4.00 μB per formula unit.

=====

B.
An optimized crystal structure of NpIrS3. Source: Alexandria, functional PBE.

The space group is P2_1/m (No. 11) and the conventional cell measures 7.106, 3.741 and 9.343 Å, with angles of 90.00, 107.62 and 90.00 degrees. The asymmetric unit holds Np at (0.231, 0.250, 0.451), Ir at (0.387, 0.250, 0.836), S at (0.057, 0.250, 0.668), S at (0.322, 0.750, 0.959) and S at (0.422, 0.750, 0.335).

The value obtained for the total magnetic moment is 3.33 μB per formula unit.

=====

A is preferred energetically. Next in line: 0.135 eV/atom higher.

=====

A.
An optimized crystal structure of SmNpIr. Source: Alexandria, functional PBE.

The space group is P-1 (No. 2) and the conventional cell measures 4.861, 5.609 and 6.012 Å, with angles of 101.93, 95.99 and 107.62 degrees. The asymmetric unit holds Sm at (0.131, 0.251, 0.325), Np at (0.457, 0.828, 0.082) and Ir at (0.102, 0.342, 0.828).

The value obtained for the total magnetic moment is 1.02 μB per formula unit.

=====

B.
An optimized crystal structure of SmNpIr. Source: Alexandria, functional PBE.

The space group is P3m1 (No. 156) and the conventional cell measures 4.0401, 4.0401 and 6.0063 Å, with angles of 90.00, 90.00 and 120.00 degrees. The asymmetric unit holds Sm at (0.0000, 0.0000, 0.0000), Np at (0.3333, 0.6667, 0.4929) and Ir at (0.6667, 0.3333, 0.7224).

The value obtained for the total magnetic moment is 4.53 μB per formula unit.

=====

A is preferred energetically. Next in line: 0.108 eV/atom higher.

=====

A.
An optimized crystal structure of TbNpIr. Source: Alexandria, functional PBE.

The space group is C2/m (No. 12) and the conventional cell measures 10.791, 3.818 and 7.846 Å, with angles of 90.00, 125.34 and 90.00 degrees. The asymmetric unit holds Tb at (0.082, 0.000, 0.365), Np at (0.123, 0.500, 0.046) and Ir at (0.164, 0.500, 0.717).

The value obtained for the total magnetic moment is 0.00 μB per formula unit.

=====

B.
An optimized crystal structure of TbNpIr. Source: Alexandria, functional PBE.

The space group is P3m1 (No. 156) and the conventional cell measures 4.8496, 4.8496 and 3.1197 Å, with angles of 90.00, 90.00 and 120.00 degrees. The asymmetric unit holds Tb at (0.0000, 0.0000, 0.0000), Np at (0.3333, 0.6667, 0.3752) and Ir at (0.6667, 0.3333, 0.6492).

The value obtained for the total magnetic moment is 3.91 μB per formula unit.

=====

A is preferred energetically. Next in line: 0.342 eV/atom higher.

=====

A.
An optimized crystal structure of NpTcIr2. Source: Alexandria, functional PBE.

The space group is R-3m (No. 166, hexagonal axes) and the conventional cell measures 2.7563, 2.7563 and 29.1257 Å, with angles of 90.00, 90.00 and 120.00 degrees. The asymmetric unit holds Np at (0.0000, 0.0000, 0.0000), Tc at (0.0000, 0.0000, 0.5000) and Ir at (0.0000, 0.0000, 0.2422).

The value obtained for the total magnetic moment is 2.43 μB per formula unit.

=====

B.
An optimized crystal structure of NpTcIr2. Source: Alexandria, functional PBE.

The space group is P4/mmm (No. 123) and the conventional cell measures 3.974, 3.974 and 4.116 Å, with angles of 90.00, 90.00 and 90.00 degrees. The asymmetric unit holds Np at (0.000, 0.000, 0.000), Tc at (0.500, 0.500, 0.000) and Ir at (0.000, 0.500, 0.500).

The value obtained for the total magnetic moment is 0.73 μB per formula unit.

=====

B is preferred energetically. Next in line: 0.239 eV/atom higher.

=====

A.
An optimized crystal structure of NpTeIr. Source: Alexandria, functional PBE.

The space group is Cmcm (No. 63) and the conventional cell measures 3.841, 19.605 and 3.975 Å, with angles of 90.00, 90.00 and 90.00 degrees. The asymmetric unit holds Np at (0.000, 0.091, 0.250), Te at (0.000, 0.321, 0.250) and Ir at (0.000, 0.458, 0.250).

The value obtained for the total magnetic moment is 3.30 μB per formula unit.

=====

B.
An optimized crystal structure of NpTeIr. Source: Alexandria, functional PBE.

The space group is F-43m (No. 216) and the conventional cell measures 6.606, 6.606 and 6.606 Å, with angles of 90.00, 90.00 and 90.00 degrees. The asymmetric unit holds Np at (0.000, 0.000, 0.000), Te at (0.000, 0.000, 0.500) and Ir at (0.250, 0.250, 0.250).

The value obtained for the total magnetic moment is 3.95 μB per formula unit.

=====

A is preferred energetically. Next in line: 0.103 eV/atom higher.

=====

A.
An optimized crystal structure of TmNpIr2. Source: Alexandria, functional PBE.

The space group is Fm-3m (No. 225) and the conventional cell measures 6.804, 6.804 and 6.804 Å, with angles of 90.00, 90.00 and 90.00 degrees. The asymmetric unit holds Tm at (0.000, 0.000, 0.000), Np at (0.000, 0.000, 0.500) and Ir at (0.250, 0.250, 0.250).

The value obtained for the total magnetic moment is 3.42 μB per formula unit.

=====

B.
An optimized crystal structure of TmNpIr2. Source: Alexandria, functional PBE.

The space group is P4/mmm (No. 123) and the conventional cell measures 4.976, 4.976 and 3.168 Å, with angles of 90.00, 90.00 and 90.00 degrees. The asymmetric unit holds Tm at (0.000, 0.000, 0.000), Np at (0.500, 0.500, 0.000) and Ir at (0.000, 0.500, 0.500).

The value obtained for the total magnetic moment is 3.34 μB per formula unit.

=====

B is preferred energetically. Next in line: 0.010 eV/atom higher.

=====

A.
An optimized crystal structure of NpUIr. Source: Alexandria, functional PBE.

The space group is I4mm (No. 107) and the conventional cell measures 3.331, 3.331 and 9.834 Å, with angles of 90.00, 90.00 and 90.00 degrees. The asymmetric unit holds Np at (0.000, 0.000, 0.000), U at (0.000, 0.000, 0.374) and Ir at (0.000, 0.000, 0.686).

The value obtained for the total magnetic moment is 0.00 μB per formula unit.

=====

B.
An optimized crystal structure of NpUIr. Source: Alexandria, functional PBE.

The space group is P4/nmm (No. 129, origin choice 2) and the conventional cell measures 4.482, 4.482 and 6.171 Å, with angles of 90.00, 90.00 and 90.00 degrees. The asymmetric unit holds Np at (0.250, 0.250, 0.246), U at (0.250, 0.750, 0.000) and Ir at (0.250, 0.750, 0.500).

The value obtained for the total magnetic moment is 2.49 μB per formula unit.

=====

C.
An optimized crystal structure of NpUIr. Source: Alexandria, functional PBE.

The space group is P-6m2 (No. 187) and the conventional cell measures 4.7265, 4.7265 and 2.7601 Å, with angles of 90.00, 90.00 and 120.00 degrees. The asymmetric unit holds Np at (0.0000, 0.0000, 0.0000), U at (0.3333, 0.6667, 0.0000) and Ir at (0.6667, 0.3333, 0.5000).

The value obtained for the total magnetic moment is 2.12 μB per formula unit.

=====

C is preferred energetically. Next in line: 0.036 eV/atom higher.

=====

A.
An optimized crystal structure of ZrNpIr2. Source: Alexandria, functional PBE.

The space group is P4/mmm (No. 123) and the conventional cell measures 4.969, 4.969 and 3.064 Å, with angles of 90.00, 90.00 and 90.00 degrees. The asymmetric unit holds Zr at (0.000, 0.000, 0.000), Np at (0.500, 0.500, 0.000) and Ir at (0.000, 0.500, 0.500).

The value obtained for the total magnetic moment is 3.52 μB per formula unit.

=====

B.
An optimized crystal structure of ZrNpIr2. Source: Alexandria, functional PBE.

The space group is Fm-3m (No. 225) and the conventional cell measures 6.726, 6.726 and 6.726 Å, with angles of 90.00, 90.00 and 90.00 degrees. The asymmetric unit holds Zr at (0.000, 0.000, 0.000), Np at (0.000, 0.000, 0.500) and Ir at (0.250, 0.250, 0.250).

The value obtained for the total magnetic moment is 3.44 μB per formula unit.

=====

A is preferred energetically. Next in line: 0.032 eV/atom higher.